# 1
PBE Pr2GdSi, relaxed; space group = P4/mmm; E_form (uncorrected) = -0.251 eV per atom; excess energy over the best structure of this formula in the dataset = 0 meV per atom; size of the total moment = 7.62 μB/cell
1.0
4.7977 0.0000 0.0000
0.0000 4.7977 0.0000
0.0000 0.0000 4.7470
Pr Gd Si
2 1 1
Cartesian
0.0000 2.3988 0.0000
2.3988 0.0000 0.0000
0.0000 0.0000 2.3735
2.3988 2.3988 2.3735



# 2
PBE Sc2Cu2Hg, relaxed; space group = I4/mmm; formation enthalpy at 0 K = -0.098 eV per atom; size of the total moment = 0.71 μB/cell
1.0
3.3873 0.0000 0.0000
0.0000 3.3873 0.0000
0.0000 0.0000 16.7591
Sc Cu Hg
4 4 2
Cartesian
0.0000 0.0000 1.9343
0.0000 0.0000 14.8248
1.6937 1.6937 6.4453
1.6937 1.6937 10.3138
0.0000 1.6937 4.1898
0.0000 1.6937 12.5693
1.6937 0.0000 4.1898
1.6937 0.0000 12.5693
0.0000 0.0000 8.3795
1.6937 1.6937 0.0000



Listing theoretical density for the structures above in their given order: 7.10 7.21 g cm⁻³.